DFT (PBE) results for a relaxed structure of NaErRhF6.

a = 5.6369 Å, b = 5.6369 Å, c = 9.9732 Å
α = 90.00°, β = 90.00°, γ = 120.00°
Last column: nearest neighbours and their distance in Å.
Atoms (fractional coordinates):
1 Rh 0.6667 0.3333 0.2500  6 F 2.18
2 Rh 0.3333 0.6667 0.7500  6 F 2.18
3 F 0.0007 0.6544 0.8663  1 Rh 2.18, 1 Er 2.18, 1 Na 2.36
4 F 0.9993 0.6537 0.3663  1 Rh 2.18, 1 Er 2.18, 1 Na 2.36
5 F 0.9993 0.3456 0.1337  1 Rh 2.18, 1 Er 2.18, 1 Na 2.36
6 F 0.3456 0.3463 0.8663  1 Rh 2.18, 1 Er 2.18, 1 Na 2.36
7 F 0.6537 0.6544 0.6337  1 Rh 2.18, 1 Er 2.18, 1 Na 2.36
8 F 0.3456 0.9993 0.6337  1 Rh 2.18, 1 Er 2.18, 1 Na 2.36
9 F 0.3463 0.3456 0.3663  1 Rh 2.18, 1 Er 2.18, 1 Na 2.36
10 F 0.3463 0.0007 0.1337  1 Rh 2.18, 1 Er 2.18, 1 Na 2.36
11 F 0.6537 0.9993 0.8663  1 Rh 2.18, 1 Er 2.18, 1 Na 2.36
12 F 0.6544 0.0007 0.3663  1 Rh 2.18, 1 Er 2.18, 1 Na 2.36
13 F 0.0007 0.3463 0.6337  1 Rh 2.18, 1 Er 2.18, 1 Na 2.36
14 F 0.6544 0.6537 0.1337  1 Rh 2.18, 1 Er 2.18, 1 Na 2.36
15 Er 0.3333 0.6667 0.2500  6 F 2.18
16 Er 0.6667 0.3333 0.7500  6 F 2.18
17 Na 0.0000 0.0000 0.5000  6 F 2.36
18 Na 0.0000 0.0000 0.0000  6 F 2.36

Calculated values
The calculation puts the theoretical density at 4.927 Mg/m³. The calculated volume comes out at 15.2 Å³ per atom. Its uncorrected formation energy is -2.740 eV/atom.